4
Lattice="3.6039 0.0000 0.0000 1.8020 3.1211 0.0000 1.8020 1.0404 8.7993" Properties=species:S:1:pos:R:3 comment="TbSc2P (PBE, optimized geometry)" delta_e_f_ev_per_atom=-0.65 crystal_system=trigonal energy_ev_per_cell=-25.3 mass_density_g_cm3=4.69 de_polymorph_ev_per_atom=0.131 pbc="T T T"
Sc 1.8020 1.0404 1.5050
Sc 5.4059 3.1211 7.2943
P 0.0000 0.0000 0.0000
Tb 3.6039 2.0807 4.3996